(1)
A plane-wave DFT calculation with PBE was carried out for crystalline Tm4MnTl at its relaxed geometry.

Computed properties:
For the formation energy from the elements, the calculation gives -96 meV/atom. The value obtained for the density of states at the Fermi level is 26.76 states/eV per cell.

a b c (Å): 8.6624 12.8520 5.9197
angles (deg): 90.00 106.82 90.00
Last column: nearest neighbours and their distance in Å.
Space group C2/c (No. 15)
Asymmetric unit:
1 Tm 0.1067 0.1660 0.0461 x8  2 Mn 2.73-2.76
2 Tm 0.2246 0.4234 0.3879 x8  2 Mn 2.88-2.91, 1 Tl 3.22
3 Mn 0.0000 0.0010 0.2500 x4  8 Tm 2.73-2.91, 2 Mn 2.96
4 Tl 0.0000 0.3735 0.7500 x4  8 Tm 3.18-3.35

(2)
A plane-wave DFT calculation with PBE was carried out for crystalline LiAgHPd2 at its relaxed geometry.

Computed properties:
The value obtained for the density of states at the Fermi level is 1.11 states/eV per cell. The uncorrected energy is -19.6 eV/cell.

a b c (Å): 3.9503 3.9503 4.1617
angles (deg): 90.00 90.00 90.00
Last column: nearest neighbours and their distance in Å.
Space group P4/mmm (No. 123)
Asymmetric unit:
1 Li 0.0000 0.0000 0.0000 x1  4 Ag 2.79, 8 Pd 2.87
2 Ag 0.5000 0.5000 0.0000 x1  2 H 2.08
3 H 0.5000 0.5000 0.5000 x1  4 Pd 1.98, 2 Ag 2.08
4 Pd 0.0000 0.5000 0.5000 x2  2 H 1.98

(3)
A plane-wave DFT calculation with PBE was carried out for crystalline Lu2FePd at its relaxed geometry.

Computed properties:
For the formation energy from the elements, the calculation gives -476 meV/atom. The value obtained for the density of states at the Fermi level is 1.81 states/eV per cell.

a b c (Å): 3.3429 3.3429 6.6523
angles (deg): 90.00 90.00 90.00
Last column: nearest neighbours and their distance in Å.
Space group P4/mmm (No. 123)
Asymmetric unit:
1 Lu 0.0000 0.0000 0.2355 x2  4 Fe 2.84, 4 Pd 2.95, 1 Lu 3.13
2 Fe 0.5000 0.5000 0.0000 x1  8 Lu 2.84
3 Pd 0.5000 0.5000 0.5000 x1  8 Lu 2.95

(4)
A plane-wave DFT calculation with PBE was carried out for crystalline PmSc2I6 at its relaxed geometry.

Computed properties:
The value obtained for the density of states at the Fermi level is 19.13 states/eV per cell. The value obtained for the formation energy (no corrections) is -0.947 eV/atom.

a b c (Å): 7.7176 7.7176 24.2607
angles (deg): 90.00 90.00 120.00
Last column: nearest neighbours and their distance in Å.
Space group R3 (No. 146, hexagonal axes)
Asymmetric unit:
1 Pm 0.0000 0.0000 0.0000 x3  6 I 3.17
2 Sc 0.0000 0.0000 0.2700 x3  3 I 2.83, 1 Sc 3.03
3 Sc 0.0000 0.0000 0.3949 x3  3 I 2.83, 1 Sc 3.03
4 I 0.0292 0.3378 0.7499 x9  1 Sc 2.83
5 I 0.0292 0.6948 0.5845 x9  1 Sc 2.83, 1 Pm 3.17

(5)
A plane-wave DFT calculation with PBE was carried out for crystalline CeCu4Pb at its relaxed geometry.

Computed properties:
For the formation energy from the elements, the calculation gives -48 meV/atom. The value obtained for the density of states at the Fermi level is 40.08 states/eV per cell.

a b c (Å): 7.4745 7.4745 7.4745
angles (deg): 90.00 90.00 90.00
Last column: nearest neighbours and their distance in Å.
Space group F-43m (No. 216)
Asymmetric unit:
1 Ce 0.0000 0.0000 0.0000 x4  12 Cu 3.10, 4 Pb 3.24
2 Cu 0.1250 0.1250 0.3750 x16  6 Cu 2.64
3 Pb 0.2500 0.2500 0.7500 x4  12 Cu 3.10, 4 Ce 3.24

(6)
A plane-wave DFT calculation with PBE was carried out for crystalline Co2TcSe at its relaxed geometry.

Computed properties:
The value obtained for the density of states at the Fermi level is 9.79 states/eV per cell. The value obtained for the formation energy (no corrections) is 0.320 eV/atom.

a b c (Å): 3.0242 4.1342 8.3453
angles (deg): 90.00 90.00 90.00
Last column: nearest neighbours and their distance in Å.
Space group Imm2 (No. 44)
Asymmetric unit:
1 Co 0.0000 0.0000 0.0000 x2  2 Se 2.34, 4 Tc 2.59
2 Co 0.0000 0.5000 0.2285 x2  4 Se 2.56, 4 Co 2.72-2.81, 4 Tc 2.76-2.78
3 Tc 0.0000 0.0000 0.4521 x2  2 Se 2.50, 8 Co 2.59-2.78
4 Se 0.0000 0.5000 0.7135 x2  6 Co 2.34-2.56, 2 Tc 2.50

(7)
A plane-wave DFT calculation with PBE was carried out for crystalline V3BC at its relaxed geometry.

Computed properties:
For the formation energy from the elements, the calculation gives 172 meV/atom. The value obtained for the density of states at the Fermi level is 4.98 states/eV per cell.

a b c (Å): 3.8606 3.8606 3.8606
angles (deg): 90.00 90.00 90.00
Last column: nearest neighbours and their distance in Å.
Space group Pm-3m (No. 221)
Asymmetric unit:
1 V 0.0000 0.0000 0.5000 x3  2 C 1.93
2 B 0.5000 0.5000 0.5000 x1  12 V 2.73
3 C 0.0000 0.0000 0.0000 x1  6 V 1.93

(8)
A plane-wave DFT calculation with PBE was carried out for crystalline Tb5Pm2In at its relaxed geometry.

Computed properties:
For the formation energy from the elements, the calculation gives -77 meV/atom. The value obtained for the density of states at the Fermi level is 21.11 states/eV per cell.

a b c (Å): 7.0405 10.0593 7.0405
angles (deg): 90.00 90.00 90.00
Last column: nearest neighbours and their distance in Å.
Space group Imm2 (No. 44)
Asymmetric unit:
1 Tb 0.0000 0.0000 0.0000 x2  4 Pm 3.52-3.53, 8 Tb 3.54
2 Tb 0.2501 0.2494 0.7499 x8  6 Tb 3.52-3.54, 2 In 3.53-3.54, 4 Pm 3.54
3 Pm 0.0000 0.0000 0.4993 x2  10 Tb 3.52-3.54, 2 In 3.52
4 Pm 0.0000 0.5000 0.5013 x2  2 In 3.51-3.53, 10 Tb 3.52-3.54
5 In 0.0000 0.5000 0.0004 x2  4 Pm 3.51-3.53, 8 Tb 3.53-3.54

(9)
A plane-wave DFT calculation with PBE was carried out for crystalline K2Mg2TcO6 at its relaxed geometry.

Computed properties:
The value obtained for the density of states at the Fermi level is 6.84 states/eV per cell. The value obtained for the formation energy (no corrections) is -1.894 eV/atom.

a b c (Å): 5.3772 9.1700 6.4999
angles (deg): 90.00 106.93 90.00
Last column: nearest neighbours and their distance in Å.
Space group C2/m (No. 12)
Asymmetric unit:
1 K 0.0000 0.1712 0.0000 x4  6 O 2.68-2.75
2 Mg 0.0000 0.3358 0.5000 x4  6 O 2.11-2.15
3 Tc 0.0000 0.0000 0.5000 x2  6 O 1.95-1.96
4 O 0.2120 0.1556 0.6698 x8  1 Tc 1.95, 2 Mg 2.12-2.15
5 O 0.2487 0.0000 0.3306 x4  1 Tc 1.96, 2 Mg 2.11

(10)
A plane-wave DFT calculation with PBE was carried out for crystalline ScZn2Fe at its relaxed geometry.

Computed properties:
For the formation energy from the elements, the calculation gives 1 meV/atom. The value obtained for the density of states at the Fermi level is 4.92 states/eV per cell.

a b c (Å): 5.3750 8.0884 2.8373
angles (deg): 90.00 90.81 90.00
Last column: nearest neighbours and their distance in Å.
Space group C2/m (No. 12)
Asymmetric unit:
1 Sc 0.0000 0.0000 0.0000 x2  2 Fe 2.69, 8 Zn 2.80-2.82, 2 Sc 2.84
2 Zn 0.2500 0.2500 0.5000 x4  4 Zn 2.69-2.84, 4 Fe 2.80-2.82, 4 Sc 2.80-2.82
3 Fe 0.0000 0.5000 0.0000 x2  2 Sc 2.69, 8 Zn 2.80-2.82, 2 Fe 2.84

(11)
A plane-wave DFT calculation with PBE was carried out for crystalline SmScCo2 at its relaxed geometry.

Computed properties:
For the formation energy from the elements, the calculation gives -141 meV/atom. The value obtained for the density of states at the Fermi level is 3.38 states/eV per cell.

a b c (Å): 3.2741 3.2741 6.5575
angles (deg): 90.00 90.00 90.00
Last column: nearest neighbours and their distance in Å.
Space group P4/mmm (No. 123)
Asymmetric unit:
1 Sm 0.0000 0.0000 0.0000 x1  8 Co 2.94, 4 Sm 3.27, 2 Sc 3.28
2 Sc 0.0000 0.0000 0.5000 x1  8 Co 2.74
3 Co 0.5000 0.5000 0.2770 x2  4 Sc 2.74, 1 Co 2.92, 4 Sm 2.94

(12)
A plane-wave DFT calculation with PBE was carried out for crystalline K2CuSb at its relaxed geometry.

Computed properties:
The value obtained for the density of states at the Fermi level is 4.57 states/eV per cell. The value obtained for the formation energy (no corrections) is -0.219 eV/atom.

a b c (Å): 7.9344 4.5809 9.6110
angles (deg): 90.00 105.11 90.00
Last column: nearest neighbours and their distance in Å.
Space group Cm (No. 8)
Asymmetric unit:
1 K 0.0000 0.0000 0.0000 x2  3 Sb 3.49-3.50, 3 Cu 3.50
2 K 0.1555 0.0000 0.4929 x2  3 Cu 3.50, 3 Sb 3.50
3 Cu 0.2443 0.5000 0.2467 x2  3 Sb 2.64-2.65
4 Sb 0.4108 0.0000 0.2464 x2  3 Cu 2.64-2.65

(13)
A plane-wave DFT calculation with PBE was carried out for crystalline ZnTe2H at its relaxed geometry.

Computed properties:
The value obtained for the density of states at the Fermi level is 7.19 states/eV per cell. The uncorrected energy is -25.9 eV/cell.

a b c (Å): 3.2459 3.2459 27.0774
angles (deg): 90.00 90.00 120.00
Last column: nearest neighbours and their distance in Å.
Space group R-3m (No. 166, hexagonal axes)
Asymmetric unit:
1 Zn 0.0000 0.0000 0.0000 x3  2 Te 2.73
2 Te 0.0000 0.0000 0.1008 x6  3 H 2.59, 1 Zn 2.73
3 H 0.0000 0.0000 0.5000 x3  6 Te 2.59

(14)
A plane-wave DFT calculation with PBE was carried out for crystalline Hf3VSn at its relaxed geometry.

Computed properties:
For the formation energy from the elements, the calculation gives 569 meV/atom. The value obtained for the density of states at the Fermi level is 6.98 states/eV per cell.

a b c (Å): 4.8664 4.8664 4.8664
angles (deg): 90.00 90.00 90.00
Last column: nearest neighbours and their distance in Å.
Space group Pm-3m (No. 221)
Asymmetric unit:
1 Hf 0.0000 0.0000 0.5000 x3  2 V 2.43
2 V 0.0000 0.0000 0.0000 x1  6 Hf 2.43
3 Sn 0.5000 0.5000 0.5000 x1  12 Hf 3.44

(15)
A plane-wave DFT calculation with PBE was carried out for crystalline SrMn3Ni at its relaxed geometry.

Computed properties:
For the formation energy from the elements, the calculation gives 2324 meV/atom. The value obtained for the density of states at the Fermi level is 4.48 states/eV per cell.

a b c (Å): 4.8325 4.8325 4.8325
angles (deg): 90.00 90.00 90.00
Last column: nearest neighbours and their distance in Å.
Space group Pm-3m (No. 221)
Asymmetric unit:
1 Sr 0.0000 0.0000 0.0000 x1  6 Mn 2.42
2 Mn 0.0000 0.0000 0.5000 x3  2 Sr 2.42
3 Ni 0.5000 0.5000 0.5000 x1  12 Mn 3.42

(16)
A plane-wave DFT calculation with PBE was carried out for crystalline ScAg2Pd2 at its relaxed geometry.

Computed properties:
For the formation energy from the elements, the calculation gives -298 meV/atom. The value obtained for the density of states at the Fermi level is 4.39 states/eV per cell.

a b c (Å): 6.8184 6.8184 3.9563
angles (deg): 90.00 90.00 90.00
Last column: nearest neighbours and their distance in Å.
Space group P4/mbm (No. 127)
Asymmetric unit:
1 Sc 0.0000 0.0000 0.0000 x2  4 Pd 2.63
2 Ag 0.1575 0.3425 0.5000 x4  6 Pd 2.77-2.84, 1 Ag 3.04
3 Pd 0.1411 0.6411 0.0000 x4  2 Sc 2.63, 1 Pd 2.72, 6 Ag 2.77-2.84

(17)
A plane-wave DFT calculation with PBE was carried out for crystalline Rb2ZrPtF6 at its relaxed geometry.

Computed properties:
The value obtained for the density of states at the Fermi level is 0.00 states/eV per cell. The value obtained for the formation energy (no corrections) is -2.560 eV/atom.

a b c (Å): 7.4249 7.4249 8.1952
angles (deg): 90.00 90.00 90.00
Last column: nearest neighbours and their distance in Å.
Space group I4/mmm (No. 139)
Asymmetric unit:
1 Rb 0.0000 0.5000 0.2500 x4  12 F 3.38-3.71
2 Zr 0.0000 0.0000 0.0000 x2  6 F 2.03-2.06
3 Pt 0.0000 0.0000 0.5000 x2  2 F 2.04
4 F 0.0000 0.0000 0.2511 x4  1 Pt 2.04, 1 Zr 2.06
5 F 0.1929 0.1929 0.0000 x8  1 Zr 2.03

(18)
A plane-wave DFT calculation with PBE was carried out for crystalline Ho4ZnNi at its relaxed geometry.

Computed properties:
For the formation energy from the elements, the calculation gives -286 meV/atom. The value obtained for the density of states at the Fermi level is 88.34 states/eV per cell.

a b c (Å): 13.2251 13.2251 13.2251
angles (deg): 90.00 90.00 90.00
Last column: nearest neighbours and their distance in Å.
Space group F-43m (No. 216)
Asymmetric unit:
1 Ho 0.0000 0.0000 0.1858 x24  2 Zn 3.21, 2 Ni 3.39, 10 Ho 3.39-3.50
2 Ho 0.0587 0.2500 0.7500 x24  2 Ni 2.76
3 Ho 0.1025 0.1025 0.3975 x16  3 Ni 2.77
4 Zn 0.1712 0.1712 0.1712 x16  3 Zn 2.95, 6 Ho 3.21-3.26
5 Ni 0.1065 0.1065 0.6065 x16  6 Ho 2.76-2.77

(19)
A plane-wave DFT calculation with PBE was carried out for crystalline CrCu2BiC at its relaxed geometry.

Computed properties:
For the formation energy from the elements, the calculation gives 2225 meV/atom. The value obtained for the density of states at the Fermi level is 6.07 states/eV per cell.

a b c (Å): 4.9193 4.9193 5.3858
angles (deg): 90.00 90.00 90.00
Last column: nearest neighbours and their distance in Å.
Space group P4/mmm (No. 123)
Asymmetric unit:
1 Cr 0.0000 0.0000 0.0000 x1  2 Bi 2.69
2 Cu 0.0000 0.5000 0.5000 x2  2 Bi 2.46
3 Bi 0.0000 0.0000 0.5000 x1  4 Cu 2.46, 2 Cr 2.69
4 C 0.5000 0.5000 0.0000 x1  4 Cr 3.48, 8 Cu 3.65

(20)
A plane-wave DFT calculation with PBE was carried out for crystalline Ba2ScPd at its relaxed geometry.

Computed properties:
For the formation energy from the elements, the calculation gives 246 meV/atom. The value obtained for the density of states at the Fermi level is 32.62 states/eV per cell.

a b c (Å): 8.1731 8.1731 8.1731
angles (deg): 90.00 90.00 90.00
Last column: nearest neighbours and their distance in Å.
Space group Fm-3m (No. 225)
Asymmetric unit:
1 Ba 0.2500 0.2500 0.2500 x8  4 Pd 3.54, 4 Sc 3.54
2 Sc 0.0000 0.0000 0.0000 x4  8 Ba 3.54
3 Pd 0.0000 0.0000 0.5000 x4  8 Ba 3.54

Number 1: M_tot 0.67 μB/f.u.. Number 2: M_tot 0.00 μB/f.u.. Number 3: M_tot 0.00 μB/f.u.. Number 4: M_tot 1.04 μB/f.u.. Number 5: M_tot 0.97 μB/f.u.. Number 6: M_tot 2.61 μB/f.u.. Number 7: M_tot 1.76 μB/f.u.. Number 8: M_tot 0.00 μB/f.u.. Number 9: M_tot 1.02 μB/f.u.. Number 10: M_tot 1.55 μB/f.u.. Number 11: M_tot 0.78 μB/f.u.. Number 12: M_tot 0.00 μB/f.u.. Number 13: M_tot 0.00 μB/f.u.. Number 14: M_tot 0.00 μB/f.u.. Number 15: M_tot 11.36 μB/f.u.. Number 16: M_tot 0.00 μB/f.u.. Number 17: M_tot 0.00 μB/f.u.. Number 18: M_tot 0.00 μB/f.u.. Number 19: M_tot 2.40 μB/f.u.. Number 20: M_tot 0.00 μB/f.u..